Ba3Zr2VO9 PBE+U optimized geometry; energy = -7.95 eV per atom; crystal system = trigonal; space group = P-3m1
1.0
-3.776 3.168 3.247
-0.440 -5.885 -0.136
4.456 -0.464 5.635
Zr O V Ba
2 9 1 3
direct
0.667 0.333 0.825
0.333 0.667 0.175
0.500 0.000 0.000
0.500 0.500 0.000
0.161 0.839 0.343
0.839 0.161 0.657
0.000 0.500 0.000
0.161 0.322 0.343
0.839 0.678 0.657
0.678 0.839 0.343
0.322 0.161 0.657
0.000 0.000 0.500
0.000 0.000 0.000
0.667 0.333 0.336
0.333 0.667 0.664